[1]
{"formula": "In4HgCl", "functional": "PBE", "state": "optimized geometry", "cell": [[5.820, 1.228, 1.988], [1.071, 1.087, 6.083], [3.095, -4.230, 3.444]], "species": ["Hg", "In", "Cl", "In", "In", "In"], "fractional_positions": [[0.000, 0.000, 0.000], [0.875, 0.375, 0.375], [0.750, 0.750, 0.750], [0.375, 0.875, 0.375], [0.375, 0.375, 0.875], [0.375, 0.375, 0.375]], "dft_energy_ev_per_atom": -2.24, "magnetic_moment_mub_per_fu": 0.0, "sg": "F-43m, No. 216"}

[2]
{"formula": "In2Hg7Cl", "functional": "PBE", "state": "optimized geometry", "cell": [[-3.483, 1.368, 0.489], [-2.926, -8.356, 2.534], [2.616, 3.813, 7.964]], "species": ["In", "Hg", "Hg", "Hg", "Hg", "Hg", "In", "Hg", "Hg", "Cl"], "fractional_positions": [[0.500, 0.842, 0.158], [0.500, 0.863, 0.616], [0.500, 0.616, 0.863], [0.000, 0.669, 0.331], [0.500, 0.137, 0.384], [0.000, 0.331, 0.669], [0.500, 0.158, 0.842], [0.500, 0.384, 0.137], [0.500, 0.500, 0.500], [0.000, 0.000, 0.000]], "dft_energy_ev_per_atom": -1.06, "magnetic_moment_mub_per_fu": 0.0, "sg": "Cmmm, No. 65"}

[3]
{"formula": "InHg4Cl", "functional": "PBE", "state": "optimized geometry", "cell": [[0.000, 4.460, 4.460], [4.460, 0.000, 4.460], [4.460, 4.460, 0.000]], "species": ["Hg", "Hg", "In", "Hg", "Hg", "Cl"], "fractional_positions": [[0.374, 0.877, 0.374], [0.374, 0.374, 0.877], [0.750, 0.750, 0.750], [0.374, 0.374, 0.374], [0.877, 0.374, 0.374], [0.000, 0.000, 0.000]], "dft_energy_ev_per_atom": -1.10, "magnetic_moment_mub_per_fu": 0.0, "sg": "F-43m, No. 216", "relative_energy_mev_per_atom": 108.2}

[4]
{"formula": "InHgCl2", "functional": "PBE", "state": "optimized geometry", "cell": [[0.000, 3.740, 3.740], [3.740, 0.000, 3.740], [3.740, 3.740, 0.000]], "species": ["Cl", "Hg", "In", "Cl"], "fractional_positions": [[0.750, 0.750, 0.750], [0.500, 0.500, 0.500], [0.000, 0.000, 0.000], [0.250, 0.250, 0.250]], "dft_energy_ev_per_atom": -2.10, "magnetic_moment_mub_per_fu": 0.0, "sg": "Fm-3m, No. 225", "relative_energy_mev_per_atom": 225.3}

[5]
{"formula": "In2Hg3Cl2", "functional": "PBE", "state": "optimized geometry", "cell": [[-1.207, 0.568, 4.042], [-1.448, -4.041, 0.135], [12.579, -5.971, 4.594]], "species": ["Hg", "Hg", "Cl", "In", "In", "Cl", "Hg"], "fractional_positions": [[0.000, 0.233, 0.582], [0.000, 0.767, 0.418], [0.500, 0.597, 0.791], [0.000, 0.907, 0.209], [0.000, 0.093, 0.791], [0.500, 0.403, 0.209], [0.000, 0.000, 0.000]], "dft_energy_ev_per_atom": -1.85, "magnetic_moment_mub_per_fu": 0.0, "sg": "P2/m, No. 10"}

[6]
{"formula": "InHgCl2", "functional": "PBE", "state": "optimized geometry", "cell": [[3.160, -4.755, 9.429], [1.374, -8.000, 7.456], [5.362, -6.981, 6.634]], "species": ["In", "Cl", "Cl", "Hg"], "fractional_positions": [[0.500, 0.500, 0.500], [0.123, 0.123, 0.123], [0.877, 0.877, 0.877], [0.000, 0.000, 0.000]], "dft_energy_ev_per_atom": -2.25, "magnetic_moment_mub_per_fu": 0.0, "sg": "R-3m, No. 166", "relative_energy_mev_per_atom": 77.0}

[7]
{"formula": "In4HgCl4", "functional": "PBE", "state": "optimized geometry", "cell": [[5.817, 0.000, 2.332], [2.851, 7.257, 1.309], [0.208, -0.126, 7.902]], "species": ["Cl", "In", "In", "Cl", "In", "In", "Cl", "Cl", "Hg"], "fractional_positions": [[0.833, 0.755, 0.580], [0.896, 0.411, 0.797], [0.308, 0.795, 0.590], [0.167, 0.245, 0.420], [0.692, 0.205, 0.410], [0.104, 0.589, 0.203], [0.585, 0.584, 0.245], [0.415, 0.416, 0.755], [0.000, 0.000, 0.000]], "dft_energy_ev_per_atom": -2.77, "magnetic_moment_mub_per_fu": 0.0, "sg": "C2/m, No. 12"}

[8]
{"formula": "InHgCl6", "functional": "PBE", "state": "optimized geometry", "cell": [[6.744, 0.498, -0.217], [3.795, 6.641, -0.349], [3.292, 2.078, 5.401]], "species": ["In", "Cl", "Cl", "Cl", "Cl", "Cl", "Cl", "Hg"], "fractional_positions": [[0.500, 0.500, 0.500], [0.479, 0.712, 0.691], [0.521, 0.288, 0.309], [0.091, 0.455, 0.792], [0.762, 0.096, 0.767], [0.909, 0.545, 0.208], [0.238, 0.904, 0.233], [0.000, 0.000, 0.000]], "dft_energy_ev_per_atom": -2.39, "magnetic_moment_mub_per_fu": 1.0, "sg": "P-1, No. 2"}

[9]
{"formula": "InHgCl4", "functional": "PBE", "state": "optimized geometry", "cell": [[-3.759, 0.798, -0.540], [-1.325, -1.136, 7.551], [2.194, 11.994, 2.459]], "species": ["Cl", "Cl", "In", "Cl", "Cl", "Hg", "Cl", "In", "Hg", "Cl", "Cl", "Cl"], "fractional_positions": [[0.000, 0.627, 0.380], [0.500, 0.236, 0.390], [0.000, 0.000, 0.000], [0.000, 0.264, 0.110], [0.000, 0.736, 0.890], [0.000, 0.000, 0.500], [0.500, 0.764, 0.610], [0.500, 0.500, 0.500], [0.500, 0.500, 0.000], [0.500, 0.873, 0.120], [0.500, 0.127, 0.880], [0.000, 0.373, 0.620]], "dft_energy_ev_per_atom": -2.47, "magnetic_moment_mub_per_fu": 0.6, "sg": "C2/m, No. 12", "relative_energy_mev_per_atom": 0.0}

[10]
{"formula": "InHgCl2", "functional": "PBE", "state": "optimized geometry", "cell": [[7.359, 0.048, 0.097], [-3.428, 4.447, -0.036], [0.504, 1.751, 3.561]], "species": ["Cl", "Hg", "Cl", "In"], "fractional_positions": [[0.000, 0.000, 0.000], [0.000, 0.500, 0.500], [0.500, 0.000, 0.500], [0.500, 0.500, 0.000]], "dft_energy_ev_per_atom": -2.13, "magnetic_moment_mub_per_fu": 0.0, "sg": "C2/m, No. 12", "relative_energy_mev_per_atom": 199.2}

[11]
{"formula": "InHg2Cl8", "functional": "PBE", "state": "optimized geometry", "cell": [[6.231, 0.000, 0.000], [-3.116, 5.859, -2.071], [0.000, 0.198, 10.441]], "species": ["Cl", "Cl", "Cl", "Cl", "Cl", "Cl", "Hg", "Hg", "Cl", "In", "Cl"], "fractional_positions": [[0.540, 0.079, 0.688], [0.402, 0.289, 0.114], [0.177, 0.353, 0.520], [0.823, 0.647, 0.480], [0.887, 0.289, 0.114], [0.113, 0.711, 0.886], [0.328, 0.656, 0.429], [0.672, 0.344, 0.571], [0.598, 0.711, 0.886], [0.000, 0.000, 0.000], [0.460, 0.921, 0.312]], "dft_energy_ev_per_atom": -2.21, "magnetic_moment_mub_per_fu": 0.5, "sg": "C2/m, No. 12"}

[12]
{"formula": "In3HgCl", "functional": "PBE", "state": "optimized geometry", "cell": [[5.660, 0.000, 0.000], [0.000, 5.660, 0.000], [0.000, 0.000, 5.660]], "species": ["Cl", "In", "Hg", "In", "In"], "fractional_positions": [[0.500, 0.500, 0.500], [0.000, 0.000, 0.500], [0.000, 0.000, 0.000], [0.500, 0.000, 0.000], [0.000, 0.500, 0.000]], "dft_energy_ev_per_atom": -2.04, "magnetic_moment_mub_per_fu": 0.0, "sg": "Pm-3m, No. 221", "relative_energy_mev_per_atom": 0.0}

[13]
{"formula": "InHgCl2", "functional": "PBE", "state": "optimized geometry", "cell": [[5.289, 0.011, 0.000], [-0.022, 5.289, 0.000], [0.000, 0.000, 3.746]], "species": ["In", "Cl", "Cl", "Hg"], "fractional_positions": [[0.000, 0.500, 0.500], [0.000, 0.000, 0.000], [0.500, 0.500, 0.000], [0.500, 0.000, 0.500]], "dft_energy_ev_per_atom": -2.10, "magnetic_moment_mub_per_fu": 0.0, "sg": "Cmmm, No. 65", "relative_energy_mev_per_atom": 226.4}

[14]
{"formula": "In2HgCl2", "functional": "PBE", "state": "optimized geometry", "cell": [[4.366, 0.000, 0.000], [0.000, 6.086, -0.577], [0.000, 0.240, 12.461]], "species": ["In", "Cl", "Cl", "Hg", "In", "Cl", "Cl", "In", "Hg", "In"], "fractional_positions": [[0.750, 0.152, 0.424], [0.250, 0.096, 0.265], [0.250, 0.391, 0.640], [0.750, 0.800, 0.017], [0.750, 0.384, 0.797], [0.750, 0.609, 0.360], [0.750, 0.904, 0.735], [0.250, 0.616, 0.203], [0.250, 0.200, 0.983], [0.250, 0.848, 0.576]], "dft_energy_ev_per_atom": -2.53, "magnetic_moment_mub_per_fu": 0.0, "sg": "P2_1/m, No. 11", "relative_energy_mev_per_atom": 0.0}

[15]
{"formula": "InHgCl5", "functional": "PBE", "state": "optimized geometry", "cell": [[-3.668, 6.506, -0.496], [-5.733, -3.815, -2.940], [0.817, -2.339, 9.189]], "species": ["Cl", "Cl", "Cl", "Cl", "Cl", "Cl", "Hg", "In", "Cl", "Cl", "Hg", "Cl", "Cl", "In"], "fractional_positions": [[0.739, 0.708, 0.029], [0.418, 0.082, 0.250], [0.836, 0.268, 0.165], [0.164, 0.732, 0.835], [0.261, 0.292, 0.971], [0.792, 0.762, 0.470], [0.500, 0.000, 0.500], [0.112, 0.388, 0.750], [0.582, 0.918, 0.750], [0.768, 0.336, 0.665], [0.500, 0.000, 0.000], [0.232, 0.664, 0.335], [0.208, 0.238, 0.530], [0.888, 0.612, 0.250]], "dft_energy_ev_per_atom": -2.56, "magnetic_moment_mub_per_fu": 0.0, "sg": "C2/c, No. 15"}

[16]
{"formula": "In2Hg8Cl", "functional": "PBE", "state": "optimized geometry", "cell": [[-1.895, 2.925, -1.336], [-8.373, -2.571, 6.418], [-1.781, 4.924, 8.012]], "species": ["In", "Hg", "Hg", "Cl", "Hg", "Hg", "Hg", "Hg", "In", "Hg", "Hg"], "fractional_positions": [[0.412, 0.087, 0.178], [0.728, 0.361, 0.545], [0.757, 0.866, 0.484], [0.000, 0.000, 0.000], [0.092, 0.660, 0.813], [0.559, 0.396, 0.851], [0.243, 0.134, 0.516], [0.441, 0.604, 0.149], [0.588, 0.913, 0.822], [0.272, 0.639, 0.455], [0.908, 0.340, 0.187]], "dft_energy_ev_per_atom": -1.01, "magnetic_moment_mub_per_fu": 0.0, "sg": "P-1, No. 2"}

[17]
{"formula": "In2HgCl2", "functional": "PBE", "state": "optimized geometry", "cell": [[5.107, 0.000, 0.000], [0.000, 5.107, 0.000], [2.554, 2.554, 6.932]], "species": ["Cl", "In", "In", "Cl", "Hg"], "fractional_positions": [[0.250, 0.750, 0.500], [0.640, 0.640, 0.720], [0.360, 0.360, 0.280], [0.750, 0.250, 0.500], [0.000, 0.000, 0.000]], "dft_energy_ev_per_atom": -2.51, "magnetic_moment_mub_per_fu": 0.0, "sg": "I4/mmm, No. 139", "relative_energy_mev_per_atom": 25.0}

[18]
{"formula": "InHgCl2", "functional": "PBE", "state": "optimized geometry", "cell": [[-2.202, 2.165, 2.864], [-3.411, -1.719, 1.775], [3.569, -3.489, 8.478]], "species": ["Hg", "Cl", "Cl", "In"], "fractional_positions": [[0.499, 0.499, 0.502], [0.284, 0.284, 0.147], [0.049, 0.049, 0.852], [0.667, 0.667, 0.999]], "dft_energy_ev_per_atom": -2.25, "magnetic_moment_mub_per_fu": 0.0, "sg": "R3m, No. 160", "relative_energy_mev_per_atom": 76.3}

[19]
{"formula": "In16Hg12Cl", "functional": "PBE", "state": "optimized geometry", "cell": [[9.181, -0.958, -4.433], [-5.366, 7.510, -4.433], [0.276, 0.475, 11.735]], "species": ["In", "Hg", "Hg", "In", "Hg", "In", "Hg", "Hg", "In", "Cl", "In", "In", "Hg", "In", "In", "Hg", "In", "Hg", "In", "In", "Hg", "Hg", "In", "In", "In", "Hg", "In", "In", "Hg"], "fractional_positions": [[0.701, 0.021, 0.517], [0.144, 0.402, 0.837], [0.052, 0.437, 0.252], [0.662, 0.016, 0.955], [0.270, 0.830, 0.883], [0.049, 0.049, 0.792], [0.850, 0.850, 0.392], [0.437, 0.052, 0.252], [0.357, 0.357, 0.380], [0.430, 0.430, 0.194], [0.262, 0.262, 0.649], [0.889, 0.359, 0.538], [0.402, 0.144, 0.837], [0.539, 0.780, 0.096], [0.021, 0.701, 0.517], [0.798, 0.619, 0.634], [0.289, 0.582, 0.625], [0.939, 0.138, 0.306], [0.997, 0.997, 0.022], [0.780, 0.539, 0.096], [0.619, 0.798, 0.634], [0.138, 0.939, 0.306], [0.359, 0.889, 0.538], [0.016, 0.662, 0.955], [0.640, 0.296, 0.198], [0.651, 0.651, 0.887], [0.296, 0.640, 0.198], [0.582, 0.289, 0.625], [0.830, 0.269, 0.883]], "dft_energy_ev_per_atom": -1.72, "magnetic_moment_mub_per_fu": 0.0, "sg": "Cm, No. 8"}

[20]
{"formula": "InHgCl2", "functional": "PBE", "state": "optimized geometry", "cell": [[7.307, -0.002, 0.000], [4.890, 5.429, 0.000], [-6.098, -2.714, 2.972]], "species": ["Cl", "Cl", "In", "Hg"], "fractional_positions": [[0.000, 0.000, 0.000], [0.250, 0.750, 0.500], [0.750, 0.250, 0.500], [0.500, 0.500, 0.000]], "dft_energy_ev_per_atom": -2.13, "magnetic_moment_mub_per_fu": 0.0, "sg": "I-4m2, No. 119", "relative_energy_mev_per_atom": 200.0}

[21]
{"formula": "InHgCl2", "functional": "PBE", "state": "optimized geometry", "cell": [[-2.149, -1.717, 2.817], [5.479, -2.838, 2.449], [4.127, 2.435, 4.632]], "species": ["Cl", "Hg", "In", "Cl"], "fractional_positions": [[0.000, 0.902, 0.904], [0.500, 0.250, 0.250], [0.500, 0.750, 0.750], [0.000, 0.598, 0.596]], "dft_energy_ev_per_atom": -2.27, "magnetic_moment_mub_per_fu": 0.0, "sg": "P2/m, No. 10", "relative_energy_mev_per_atom": 54.5}

[22]
{"formula": "InHgCl2", "functional": "PBE", "state": "optimized geometry", "cell": [[4.375, 0.000, 0.000], [0.000, 6.520, 0.000], [0.000, 0.000, 4.062]], "species": ["In", "Cl", "Hg", "Cl"], "fractional_positions": [[0.000, 0.500, 0.500], [0.000, 0.000, 0.000], [0.500, 0.000, 0.500], [0.500, 0.500, 0.000]], "dft_energy_ev_per_atom": -2.13, "magnetic_moment_mub_per_fu": 0.0, "sg": "Pmmm, No. 47", "relative_energy_mev_per_atom": 199.8}

[23]
{"formula": "InHgCl", "functional": "PBE", "state": "optimized geometry", "cell": [[4.462, -0.038, -0.519], [-0.023, 4.462, -0.519], [-1.104, -1.100, 9.421]], "species": ["Cl", "In", "In", "Hg", "Cl", "Hg"], "fractional_positions": [[0.187, 0.187, 0.371], [0.337, 0.337, 0.687], [0.663, 0.663, 0.313], [0.500, 0.000, 0.000], [0.813, 0.813, 0.629], [0.000, 0.500, 0.000]], "dft_energy_ev_per_atom": -2.17, "magnetic_moment_mub_per_fu": 0.0, "sg": "C2/m, No. 12", "relative_energy_mev_per_atom": 0.0}

[24]
{"formula": "In3Hg3Cl", "functional": "PBE", "state": "optimized geometry", "cell": [[8.190, 0.000, 0.000], [0.000, 8.190, 0.000], [0.000, 0.000, 8.190]], "species": ["In", "In", "Hg", "Hg", "Cl", "Hg", "In", "In", "Hg", "Hg", "In", "Hg", "In", "Cl"], "fractional_positions": [[0.000, 0.500, 0.250], [0.500, 0.750, 0.000], [0.250, 0.500, 0.000], [0.000, 0.750, 0.500], [0.500, 0.500, 0.500], [0.500, 0.000, 0.750], [0.000, 0.500, 0.750], [0.750, 0.000, 0.500], [0.000, 0.250, 0.500], [0.750, 0.500, 0.000], [0.250, 0.000, 0.500], [0.500, 0.000, 0.250], [0.500, 0.250, 0.000], [0.000, 0.000, 0.000]], "dft_energy_ev_per_atom": -1.43, "magnetic_moment_mub_per_fu": 0.0, "sg": "Pm-3n, No. 223"}

[25]
{"formula": "InHgCl2", "functional": "PBE", "state": "optimized geometry", "cell": [[-2.459, -6.926, 0.881], [-1.126, -5.999, 4.187], [-5.876, -1.638, 2.829]], "species": ["Cl", "Hg", "Cl", "In"], "fractional_positions": [[0.673, 0.673, 0.944], [0.648, 0.648, 0.544], [0.927, 0.927, 0.898], [0.252, 0.252, 0.114]], "dft_energy_ev_per_atom": -2.29, "magnetic_moment_mub_per_fu": 0.0, "sg": "Cm, No. 8", "relative_energy_mev_per_atom": 35.6}